[1]
## CaTcN3 (PBE-GGA)

Data for crystalline CaTcN3 at its relaxed geometry.

Unit cell a=3.0251 b=5.7835 c=7.0317 alpha=93.16 beta=89.99 gamma=74.83
Closest atoms and distances in Å follow each position.
Element x y z (fractional)
1 Ca 0.7136 0.4410 0.0438  5 N 2.37-2.48
2 Ca 0.4291 0.0105 0.4214  6 N 2.30-2.55
3 N 0.4999 0.8682 0.0697  1 N 1.35
4 N 0.1628 0.5429 0.8018  3 Tc 2.04-2.06
5 N 0.2185 0.4313 0.3555  1 N 1.31
6 N 0.3889 0.0908 0.0023  1 N 1.35
7 N 0.1095 0.6498 0.4352  1 N 1.31
8 N 0.8668 0.1349 0.6530  2 Tc 1.93-2.03
9 Tc 0.6887 0.4912 0.6057  5 N 2.03-2.15
10 Tc 0.9810 0.9065 0.8484  4 N 1.93-2.10

Summary:
- space-group type = Cm, No. 8
- spin magnetization (μB per formula unit) = 0.00
- formation energy (no corrections) (eV/atom) = -0.232

[2]
## CaTcN3 (PBE-GGA)

Data for crystalline CaTcN3 at its relaxed geometry.

Unit cell a=3.5298 b=3.5298 c=12.6520 alpha=90.00 beta=90.00 gamma=120.00
Closest atoms and distances in Å follow each position.
Element x y z (fractional)
1 N 0.0000 0.0000 0.2500  3 Tc 2.04
2 N 0.6667 0.3333 0.3967  1 Tc 1.86
3 N 0.0000 0.0000 0.7500  3 Tc 2.04
4 N 0.6667 0.3333 0.1033  1 Tc 1.86
5 N 0.3333 0.6667 0.8967  1 Tc 1.86
6 N 0.3333 0.6667 0.6033  1 Tc 1.86
7 Ca 0.0000 0.0000 0.0000  6 N 2.42
8 Ca 0.0000 0.0000 0.5000  6 N 2.42
9 Tc 0.6667 0.3333 0.2500  5 N 1.86-2.04
10 Tc 0.3333 0.6667 0.7500  5 N 1.86-2.04

Summary:
- space-group type = P6_3/mmc, No. 194
- spin magnetization (μB per formula unit) = 0.96
- formation energy (no corrections) (eV/atom) = 0.125

[3]
## CaTc3N (PBE-GGA)

Data for crystalline CaTc3N at its relaxed geometry.

Unit cell a=4.6255 b=4.6255 c=4.6255 alpha=90.00 beta=90.00 gamma=90.00
Closest atoms and distances in Å follow each position.
Element x y z (fractional)
1 Tc 0.0000 0.0000 0.5000  2 Ca 2.31
2 Tc 0.0000 0.5000 0.0000  2 Ca 2.31
3 Tc 0.5000 0.0000 0.0000  2 Ca 2.31
4 N 0.5000 0.5000 0.5000  12 Tc 3.27
5 Ca 0.0000 0.0000 0.0000  6 Tc 2.31

Summary:
- space-group type = Pm-3m, No. 221
- spin magnetization (μB per formula unit) = 2.51
- formation energy (no corrections) (eV/atom) = 3.757

[4]
## CaTcN3 (PBE-GGA)

Data for crystalline CaTcN3 at its relaxed geometry.

Unit cell a=3.0400 b=5.7917 c=7.2116 alpha=100.10 beta=102.14 gamma=74.79
Closest atoms and distances in Å follow each position.
Element x y z (fractional)
1 Tc 0.6315 0.2092 0.6035  7 N 2.06-2.25
2 Tc 0.0368 0.6447 0.8502  4 N 1.89-2.09
3 N 0.8382 0.8448 0.6527  2 Tc 1.89-2.11
4 N 0.6598 0.6308 0.0826  1 N 1.36
5 N 0.1951 0.2781 0.8001  3 Tc 2.03-2.06
6 N 0.0632 0.1138 0.3711  1 N 1.31
7 N 0.5158 0.8404 0.0041  1 N 1.36
8 N 0.9763 0.3456 0.4290  1 N 1.31
9 Ca 0.8545 0.1906 0.0319  6 N 2.33-2.48
10 Ca 0.2875 0.7058 0.4116  5 N 2.33-2.54

Summary:
- space-group type = Cm, No. 8
- spin magnetization (μB per formula unit) = 0.00
- formation energy (no corrections) (eV/atom) = -0.227

no.,total energy (eV/cell)
1,-77.01
2,-73.44
3,-22.64
4,-76.96